1.
VASP calculation (SCAN) on IrPt at its PBEsol-relaxed geometry.

The structure in POSCAR format:
```
IrPt
1.0
4.525 -1.376 0.000
4.525 1.376 0.000
-0.824 0.000 4.663
Ir Pt
2 2
direct
0.129 0.129 0.384
0.871 0.871 0.616
0.378 0.378 0.126
0.622 0.622 0.874
```

Space-group type: C2/m


2.
VASP calculation (SCAN) on IrPt at its PBEsol-relaxed geometry.

The structure in POSCAR format:
```
IrPt
1.0
2.744 0.000 0.000
0.000 3.859 0.000
0.000 0.000 5.483
Ir Pt
2 2
direct
0.250 0.250 0.116
0.750 0.750 0.884
0.250 0.250 0.628
0.750 0.750 0.372
```

Space-group type: Pmmn


3.
VASP calculation (SCAN) on Ir2Pt at its PBEsol-relaxed geometry.

The structure in POSCAR format:
```
Ir2Pt
1.0
4.378 0.000 0.000
-2.189 3.792 0.000
0.000 0.000 2.674
Ir Pt
2 1
direct
0.333 0.667 0.259
0.667 0.333 0.741
0.000 0.000 0.500
```

Relative energy among the computed polymorphs: 1.10 eV per formula unit
Space-group type: P-3m1


4.
VASP calculation (SCAN) on Ir3Pt at its PBEsol-relaxed geometry.

The structure in POSCAR format:
```
Ir3Pt
1.0
5.435 0.000 0.000
0.000 13.371 0.000
0.000 0.000 4.719
Ir Pt
18 6
direct
0.001 0.082 0.166
0.001 0.418 0.166
0.002 0.750 0.503
0.250 0.082 0.665
0.250 0.418 0.665
0.250 0.750 0.998
0.498 0.750 0.503
0.499 0.082 0.166
0.499 0.418 0.166
0.501 0.582 0.834
0.501 0.918 0.834
0.502 0.250 0.497
0.750 0.250 0.002
0.750 0.582 0.335
0.750 0.918 0.335
0.998 0.250 0.497
0.999 0.582 0.834
0.999 0.918 0.834
0.250 0.250 0.994
0.250 0.583 0.333
0.250 0.917 0.333
0.750 0.083 0.667
0.750 0.417 0.667
0.750 0.750 0.006
```

Space-group type: Pmmn


5.
VASP calculation (SCAN) on IrPt at its PBEsol-relaxed geometry.

The structure in POSCAR format:
```
IrPt
1.0
-1.934 1.934 3.872
1.934 -1.934 3.872
1.934 1.934 -3.872
Ir Pt
2 2
direct
0.375 0.625 0.750
0.625 0.375 0.250
0.125 0.875 0.250
0.875 0.125 0.750
```

Space-group type: I4_1/amd


6.
VASP calculation (SCAN) on Ir3Pt at its PBEsol-relaxed geometry.

The structure in POSCAR format:
```
Ir3Pt
1.0
2.719 0.000 0.000
0.000 2.719 0.000
0.000 0.000 7.736
Ir Pt
3 1
direct
0.000 0.000 0.000
0.500 0.500 0.242
0.500 0.500 0.758
0.000 0.000 0.500
```

Space-group type: P4/mmm


7.
VASP calculation (SCAN) on IrPt7 at its PBEsol-relaxed geometry.

The structure in POSCAR format:
```
IrPt7
1.0
0.000 3.903 3.903
3.903 0.000 3.903
3.903 3.903 0.000
Ir Pt
1 7
direct
0.000 0.000 0.000
0.000 0.000 0.500
0.000 0.500 0.000
0.000 0.500 0.500
0.500 0.000 0.000
0.500 0.000 0.500
0.500 0.500 0.000
0.500 0.500 0.500
```

Space-group type: Fm-3m


8.
VASP calculation (SCAN) on Ir2Pt at its PBEsol-relaxed geometry.

The structure in POSCAR format:
```
Ir2Pt
1.0
1.922 -5.811 0.000
1.922 5.811 0.000
0.000 0.000 3.855
Ir Pt
4 2
direct
0.087 0.913 0.750
0.251 0.749 0.250
0.749 0.251 0.750
0.913 0.087 0.250
0.416 0.584 0.750
0.584 0.416 0.250
```

Relative energy among the computed polymorphs: 0.08 eV per formula unit
Space-group type: Cmcm


9.
VASP calculation (SCAN) on Ir2Pt at its PBEsol-relaxed geometry.

The structure in POSCAR format:
```
Ir2Pt
1.0
-1.364 1.364 5.807
1.364 -1.364 5.807
1.364 1.364 -5.807
Ir Pt
2 1
direct
0.172 0.172 0.000
0.828 0.828 0.000
0.500 0.500 0.000
```

Relative energy among the computed polymorphs: 0.02 eV per formula unit
Space-group type: I4/mmm


10.
VASP calculation (SCAN) on IrPt at its PBEsol-relaxed geometry.

The structure in POSCAR format:
```
IrPt
1.0
2.732 0.000 0.000
0.000 2.732 0.000
0.000 0.000 7.795
Ir Pt
2 2
direct
0.250 0.250 0.116
0.750 0.750 0.884
0.250 0.250 0.632
0.750 0.750 0.368
```

Space-group type: P4/nmm


11.
VASP calculation (SCAN) on Ir2Pt at its PBEsol-relaxed geometry.

The structure in POSCAR format:
```
Ir2Pt
1.0
2.732 0.000 0.000
-1.366 2.366 0.000
0.000 0.000 6.666
Ir Pt
2 1
direct
0.333 0.667 0.161
0.667 0.333 0.839
0.000 0.000 0.500
```

Relative energy among the computed polymorphs: 0.00 eV per formula unit
Space-group type: P-3m1


12.
VASP calculation (SCAN) on Ir3Pt at its PBEsol-relaxed geometry.

The structure in POSCAR format:
```
Ir3Pt
1.0
2.727 0.000 0.000
0.000 3.846 0.000
0.000 0.000 5.445
Ir Pt
3 1
direct
0.000 0.000 0.000
0.500 0.500 0.244
0.500 0.500 0.756
0.000 0.000 0.500
```

Space-group type: Pmmm


| no. | energy relative to the elements (eV/atom) |
| --- | --- |
| 1 | 0.086 |
| 2 | 0.067 |
| 3 | 0.430 |
| 4 | 0.112 |
| 5 | 0.088 |
| 6 | 0.056 |
| 7 | 0.082 |
| 8 | 0.090 |
| 9 | 0.068 |
| 10 | 0.029 |
| 11 | 0.062 |
| 12 | 0.069 |